Density functional theory data (PBE-GGA) for a relaxed NdHo3Ru crystal.

```
NdHo3Ru
1.0
3.816 0.000 0.000
-1.908 6.814 -0.262
0.000 0.534 10.931
Nd Ho Ru
2 6 2
Cartesian
1.908 4.947 9.773
0.000 2.401 0.896
0.000 0.995 4.063
1.908 6.353 6.606
0.000 6.008 1.481
1.908 1.340 9.188
0.000 3.392 6.870
1.908 3.957 3.799
1.908 1.558 6.260
0.000 5.790 4.409
```

Energy above the most stable polymorph in this dataset = 0.0 meV/atom
Calculated density = 8.632 g cm⁻³
Symmetry = No. 12
ΔE_f = -0.18 eV/atom